Material: HoSiRh
Method: DFT, PBE
State: relaxed

Output
VASP energy, eV per atom: -6.85
Spin magnetization, μB/f.u.: 0.0
Mass density, g cm⁻³: 9.1
Formation energy without anion corrections, eV/atom: -1.066

a = 4.240 Å, b = 6.883 Å, c = 7.371 Å
α = 90.00°, β = 90.00°, γ = 90.00°
Positions (direct):
Rh 0.250 0.654 0.069
Rh 0.250 0.154 0.431
Si 0.750 0.204 0.605
Rh 0.750 0.346 0.931
Ho 0.250 0.999 0.811
Si 0.750 0.704 0.895
Ho 0.750 0.001 0.189
Si 0.250 0.296 0.105
Ho 0.750 0.501 0.311
Si 0.250 0.796 0.395
Rh 0.750 0.846 0.569
Ho 0.250 0.499 0.689